Y4FeCuC2 | PBE | relaxed

Cell lengths 3.6055, 3.6055, 14.0595 Å; angles 90.00, 90.00, 120.00 degrees
Space group P-6m2 (No. 187)
Symmetry-distinct sites (fractional):
Y: 0.0000 0.0000 0.1531 [2 per cell]
Y: 0.3333 0.6667 0.3465 [2 per cell]
Fe: 0.3333 0.6667 0.0000 [1 per cell]
Cu: 0.0000 0.0000 0.5000 [1 per cell]
C: 0.6667 0.3333 0.2534 [2 per cell]

Y2FeCuC | PBE | relaxed

Cell lengths 4.937, 4.937, 3.631 Å; angles 90.00, 90.00, 90.00 degrees
Space group P4/mmm (No. 123)
Symmetry-distinct sites (fractional):
Y: 0.000 0.500 0.000 [2 per cell]
Fe: 0.000 0.000 0.500 [1 per cell]
Cu: 0.500 0.500 0.500 [1 per cell]
C: 0.000 0.000 0.000 [1 per cell]

Zr4FeCuC2 | PBE | relaxed

Cell lengths 3.3083, 3.3083, 13.4585 Å; angles 90.00, 90.00, 120.00 degrees
Space group P-6m2 (No. 187)
Symmetry-distinct sites (fractional):
Zr: 0.0000 0.0000 0.1485 [2 per cell]
Zr: 0.6667 0.3333 0.3453 [2 per cell]
Fe: 0.6667 0.3333 0.0000 [1 per cell]
Cu: 0.0000 0.0000 0.5000 [1 per cell]
C: 0.3333 0.6667 0.2509 [2 per cell]

Lu4GaCuC2 | PBE | relaxed

Cell lengths 3.5210, 3.5210, 14.1565 Å; angles 90.00, 90.00, 120.00 degrees
Space group P-6m2 (No. 187)
Symmetry-distinct sites (fractional):
Lu: 0.0000 0.0000 0.1489 [2 per cell]
Lu: 0.6667 0.3333 0.3334 [2 per cell]
Ga: 0.0000 0.0000 0.5000 [1 per cell]
Cu: 0.6667 0.3333 0.0000 [1 per cell]
C: 0.3333 0.6667 0.2369 [2 per cell]

Sc4GaCuC2 | PBE | relaxed

Cell lengths 3.3437, 3.3437, 13.7565 Å; angles 90.00, 90.00, 120.00 degrees
Space group P-6m2 (No. 187)
Symmetry-distinct sites (fractional):
Sc: 0.0000 0.0000 0.1518 [2 per cell]
Sc: 0.3333 0.6667 0.3304 [2 per cell]
Ga: 0.0000 0.0000 0.5000 [1 per cell]
Cu: 0.3333 0.6667 0.0000 [1 per cell]
C: 0.6667 0.3333 0.2372 [2 per cell]

Gd2CuWC3 | PBE | relaxed

Cell lengths 11.603, 3.470, 5.771 Å; angles 90.00, 116.04, 90.00 degrees
Space group Cm (No. 8)
Symmetry-distinct sites (fractional):
Gd: 0.000 0.000 0.000 [2 per cell]
Gd: 0.204 0.000 0.671 [2 per cell]
Cu: 0.255 0.500 0.126 [2 per cell]
W: 0.423 0.000 0.477 [2 per cell]
C: 0.089 0.500 0.800 [2 per cell]
C: 0.334 0.500 0.535 [2 per cell]
C: 0.376 0.000 0.102 [2 per cell]

Hf4CuGeC2 | PBE | relaxed

Cell lengths 3.2777, 3.2777, 13.5778 Å; angles 90.00, 90.00, 120.00 degrees
Space group P-6m2 (No. 187)
Symmetry-distinct sites (fractional):
Hf: 0.0000 0.0000 0.1542 [2 per cell]
Hf: 0.6667 0.3333 0.3416 [2 per cell]
Cu: 0.6667 0.3333 0.0000 [1 per cell]
Ge: 0.0000 0.0000 0.5000 [1 per cell]
C: 0.3333 0.6667 0.2500 [2 per cell]

CuGeMo4C2 | PBE | relaxed

Cell lengths 3.1076, 3.1076, 12.6819 Å; angles 90.00, 90.00, 120.00 degrees
Space group P-6m2 (No. 187)
Symmetry-distinct sites (fractional):
Cu: 0.0000 0.0000 0.0000 [1 per cell]
Ge: 0.6667 0.3333 0.5000 [1 per cell]
Mo: 0.0000 0.0000 0.3419 [2 per cell]
Mo: 0.6667 0.3333 0.1623 [2 per cell]
C: 0.3333 0.6667 0.2483 [2 per cell]

no.,energy (eV per atom),calculated volume (Å³ per atom)
1,-7.05,19.79
2,-7.10,17.70
3,-8.40,15.95
4,-5.76,19.00
5,-6.73,16.65
6,-7.75,14.91
7,-8.97,15.79
8,-8.72,13.26